[1]
DFT (GGA-PBE) results for a relaxed structure of BaGaI2.

The structure in POSCAR format:
```
BaGaI2
1.0
-2.8363 0.5714 -3.8441
-4.7648 0.3642 0.5589
-1.6502 10.5386 -0.2267
I Ga Ba
2 1 1
Direct
0.8925 0.8925 0.3224
0.1075 0.1075 0.6776
0.5000 0.5000 0.5000
0.0000 0.0000 0.0000
```

Results
N(E_F) = 1.19 states/eV/cell
Energy relative to the elements, uncorrected = -61 kJ/mol of atoms
Energy above the most stable polymorph in this dataset = 246 meV per atom
Final energy = -2.65 eV/atom

***

[2]
DFT (GGA-PBE) results for a relaxed structure of KMnRu3.

The structure in POSCAR format:
```
KMnRu3
1.0
-1.4265 2.1399 -3.7487
-4.2537 -1.3678 0.8378
-0.7335 3.7705 2.4315
Mn Ru K
1 3 1
Direct
0.0000 0.0000 0.0000
0.0000 0.5000 0.0000
0.0000 0.0000 0.5000
0.5000 0.0000 0.0000
0.5000 0.5000 0.5000
```

Results
N(E_F) = 6.75 states/eV/cell
Energy relative to the elements = 6.621 eV per formula unit
Final energy = -6.29 eV/atom

***

[3]
DFT (GGA-PBE) results for a relaxed structure of Mn2VZn2.

The structure in POSCAR format:
```
Mn2VZn2
1.0
-5.0072 -4.5117 -1.2586
4.2385 -3.5802 -4.0284
0.8835 -1.6486 2.3948
Mn Zn V
4 4 2
Direct
0.1762 0.6762 0.5000
0.3238 0.1762 0.5000
0.6762 0.8238 0.5000
0.8238 0.3238 0.5000
0.3748 0.8748 0.0000
0.1252 0.3748 0.0000
0.8748 0.6252 0.0000
0.6252 0.1252 0.0000
0.0000 0.0000 0.0000
0.5000 0.5000 0.0000
```

Results
N(E_F) = 7.92 states/eV/cell
Energy relative to the elements = 0.946 eV per formula unit
Energy above the most stable polymorph in this dataset = 0 meV per atom
Final energy = -5.81 eV/atom

***

[4]
DFT (GGA-PBE) results for a relaxed structure of Pu2GeIr.

The structure in POSCAR format:
```
Pu2GeIr
1.0
-3.3186 -0.2082 -2.3649
-0.7008 -4.1938 1.3526
-2.4997 1.5062 3.3751
Ge Ir Pu
1 1 2
Direct
0.5000 0.0000 0.0000
0.5000 0.5000 0.5000
0.0000 0.0000 0.5000
0.0000 0.5000 0.0000
```

Results
N(E_F) = 12.30 states/eV/cell
Energy relative to the elements = -1.675 eV per formula unit
Final energy = -10.95 eV/atom

***

[5]
DFT (GGA-PBE) results for a relaxed structure of Sr5Ga4.

The structure in POSCAR format:
```
Sr5Ga4
1.0
-4.8452 -1.1625 0.0390
-2.0604 -1.9035 5.6100
-4.6691 8.9143 3.9772
Ga Sr
4 5
Direct
0.5949 0.4253 0.3849
0.4490 0.2766 0.8254
0.5510 0.7234 0.1746
0.4051 0.5747 0.6151
0.7569 0.6625 0.8238
0.1099 0.1790 0.6011
0.2431 0.3375 0.1762
0.0000 0.0000 0.0000
0.8901 0.8210 0.3989
```

Results
N(E_F) = 8.12 states/eV/cell
Energy relative to the elements = -3.152 eV per formula unit
Final energy = -2.63 eV/atom

***

[6]
DFT (GGA-PBE) results for a relaxed structure of LiPd3.

The structure in POSCAR format:
```
LiPd3
1.0
3.8857 0.0000 0.0000
0.0000 3.8862 0.0000
0.0000 0.0000 3.8860
Pd Li
3 1
Direct
0.0000 0.5000 0.4167
0.5000 0.0000 0.4166
0.5000 0.5000 0.9167
0.0000 0.0000 0.9167
```

Results
N(E_F) = 5.02 states/eV/cell
Energy relative to the elements = -1.024 eV per formula unit
Final energy = -4.63 eV/atom

***

[7]
DFT (GGA-PBE) results for a relaxed structure of BaMnMo.

The structure in POSCAR format:
```
BaMnMo
1.0
6.6325 0.0000 -0.0016
0.0000 3.3399 0.0000
-3.0653 0.0000 12.3671
Mo Mn Ba
4 4 4
Direct
0.3400 0.6367 0.7306
0.3400 0.1367 0.2306
0.6600 0.6367 0.2694
0.6600 0.1367 0.7694
0.8842 0.6377 0.7229
0.8842 0.1377 0.2229
0.1158 0.6377 0.2771
0.1158 0.1377 0.7771
0.5000 0.5448 0.0000
0.5000 0.0448 0.5000
0.0000 0.6573 0.0000
0.0000 0.1573 0.5000
```

Results
N(E_F) = 13.32 states/eV/cell
Energy relative to the elements = 2.351 eV per formula unit
Energy above the most stable polymorph in this dataset = 332 meV per atom
Final energy = -6.52 eV/atom

***

[8]
DFT (GGA-PBE) results for a relaxed structure of BeSb2Ir.

The structure in POSCAR format:
```
BeSb2Ir
1.0
-0.8464 3.6128 -0.7579
-1.1780 2.2702 2.7932
5.2751 3.6246 1.8630
Sb Be Ir
2 1 1
Direct
0.5004 0.5004 0.5001
0.9996 0.9996 0.9999
0.7500 0.7500 0.7500
0.2500 0.2500 0.2500
```

Results
N(E_F) = 1.59 states/eV/cell
Energy relative to the elements, uncorrected = 24 kJ/mol of atoms
Final energy = -4.96 eV/atom